[1]
Entry from Alexandria: AlOs3Se after structural relaxation (PBE-GGA).

Lattice parameters (Å, degrees): 4.510 4.510 4.510 90.00 90.00 90.00
Element x y z (fractional)
Al 0.500 0.500 0.500
Os 0.500 0.000 0.000
Os 0.000 0.000 0.500
Os 0.000 0.500 0.000
Se 0.000 0.000 0.000

The density of states at the Fermi level comes out at 0.65 states/eV/atom. The total energy is -0.48099 Ry/atom. The raw formation energy comes out at 1.64 eV/atom. As for the energy above the lowest structure with this stoichiometry: 0.000 eV/atom. As for the space group: Pm-3m (221).



[2]
Entry from Alexandria: NiHg2 after structural relaxation (PBE-GGA).

Lattice parameters (Å, degrees): 3.247 3.247 13.464 90.00 90.00 120.00
Each line ends with the local moment (μB).
Element x y z (fractional)
Hg 0.333 0.667 0.699  0.01
Hg 0.667 0.333 0.301  0.01
Hg 0.333 0.667 0.101  0.01
Hg 0.667 0.333 0.899  0.01
Ni 0.667 0.333 0.554  0.59
Ni 0.333 0.667 0.446  0.59

The density of states at the Fermi level comes out at 0.82 states/eV/atom. The calculation puts the formation energy at 0.298 eV/atom. The total energy is -0.13452 Ry/atom. As for the space group: P-3m1 (164).



[3]
Entry from Alexandria: Pm3Ga6Pd20 after structural relaxation (PBE-GGA).

Lattice parameters (Å, degrees): 8.882 8.882 8.882 60.00 60.00 60.00
Element x y z (fractional)
Ga 0.272 0.728 0.272
Ga 0.728 0.272 0.728
Ga 0.728 0.272 0.272
Ga 0.272 0.728 0.728
Ga 0.728 0.728 0.272
Ga 0.272 0.272 0.728
Pd 0.141 0.620 0.620
Pd 0.000 0.000 0.346
Pd 0.000 0.346 0.654
Pd 0.380 0.380 0.380
Pd 0.346 0.000 0.000
Pd 0.654 0.000 0.346
Pd 0.000 0.654 0.346
Pd 0.000 0.346 0.000
Pd 0.380 0.859 0.380
Pd 0.346 0.654 0.000
Pd 0.859 0.380 0.380
Pd 0.620 0.620 0.620
Pd 0.346 0.000 0.654
Pd 0.620 0.620 0.141
Pd 0.000 0.000 0.654
Pd 0.654 0.000 0.000
Pd 0.000 0.654 0.000
Pd 0.380 0.380 0.859
Pd 0.620 0.141 0.620
Pd 0.654 0.346 0.000
Pm 0.250 0.250 0.250
Pm 0.000 0.000 0.000
Pm 0.750 0.750 0.750

The density of states at the Fermi level comes out at 0.62 states/eV/atom. The calculation puts the formation energy at -0.658 eV/atom. The total energy is -0.39372 Ry/atom. As for the space group: Fm-3m (225).



[4]
Entry from Alexandria: TcOs2W after structural relaxation (PBE-GGA).

Lattice parameters (Å, degrees): 2.757 2.757 7.840 90.00 90.00 90.00
Element x y z (fractional)
Os 0.000 0.000 0.005
Os 0.500 0.500 0.251
W 0.500 0.500 0.754
Tc 0.000 0.000 0.490

The density of states at the Fermi level comes out at 0.93 states/eV/atom. The calculation puts the formation energy at 0.118 eV/atom. The total energy is -0.83248 Ry/atom. As for the energy above the lowest structure with this stoichiometry: 0.132 eV/atom. As for the space group: P4mm (99).



[5]
Entry from Alexandria: NiSb2Te after structural relaxation (PBE-GGA).

Lattice parameters (Å, degrees): 5.090 5.090 5.090 120.29 120.29 89.50
Element x y z (fractional)
Ni 0.750 0.250 0.500
Te 0.500 0.500 0.000
Sb 0.000 0.000 0.000
Sb 0.250 0.750 0.500

The density of states at the Fermi level comes out at 1.01 states/eV/atom. The total energy is -0.28169 Ry/atom. The raw formation energy comes out at 0.46 eV/atom. As for the space group: I-4m2 (119).



[6]
Entry from Alexandria: MgTe2Mo after structural relaxation (PBE-GGA).

Lattice parameters (Å, degrees): 4.025 4.025 7.464 74.34 74.34 60.02
Each line ends with the local moment (μB).
Element x y z (fractional)
Mo 0.750 0.750 0.750  2.00
Te 0.493 0.493 0.520  0.00
Te 0.007 0.007 0.980  0.00
Mg 0.250 0.250 0.250  0.01

The density of states at the Fermi level comes out at 0.66 states/eV/atom. The total energy is -0.34488 Ry/atom. The raw formation energy comes out at -0.02 eV/atom. As for the space group: R-3m (166).